{"formula": "MnFeH3", "functional": "PBE", "state": "relaxed", "lattice": [[-1.061, 1.322, 2.786], [0.000, -2.947, 1.399], [3.084, 0.455, 0.958]], "species": ["Fe", "H", "H", "H", "Mn"], "frac_coords": [[0.000, 0.000, 0.000], [0.000, 0.000, 0.500], [0.000, 0.500, 0.000], [0.500, 0.000, 0.000], [0.500, 0.500, 0.500]], "dft_energy_ev_per_atom": -5.41}